{
  "formula": "Ac2TbSe2N2",
  "functional": "PBE",
  "state": "relaxed",
  "m_tot_mub_per_cell": 0.00,
  "e_form_raw_ev_per_atom": -1.512,
  "vol_a3_per_cell": 161.7,
  "n_ef_per_ev_cell": 4.2,
  "lattice": [[4.498, 0.000, 0.000], [0.000, 4.498, 0.000], [-2.249, -2.249, 7.995]],
  "species": ["Ac", "Ac", "N", "N", "Se", "Se", "Tb"],
  "fractional_positions": [[0.617, 0.617, 0.235], [0.383, 0.383, 0.765], [0.000, 0.500, 0.000], [0.500, 0.000, 0.000], [0.820, 0.820, 0.640], [0.180, 0.180, 0.360], [0.000, 0.000, 0.000]]
}